[1]
DFT (PBE) results for a relaxed structure of ZnFeSi.

## Properties
uncorrected formation energy = 0.09 eV per atom
crystal system = cubic
uncorrected energy = -4.964 eV/atom
size of the total moment = 0.00 μB/cell

Unit cell a=5.5208 b=5.5208 c=5.5208 alpha=90.00 beta=90.00 gamma=90.00
Last column: nearest neighbours and their distance in Å.
Space group F-43m (No. 216)
Unique sites:
Zn: 0.0000 0.0000 0.0000 [4 per cell]  4 Fe 2.39
Fe: 0.2500 0.2500 0.7500 [4 per cell]  4 Si 2.39, 4 Zn 2.39
Si: 0.0000 0.0000 0.5000 [4 per cell]  4 Fe 2.39


[2]
DFT (PBE) results for a relaxed structure of ZnFe2Si2.

## Properties
uncorrected formation energy = -0.25 eV per atom
crystal system = tetragonal
uncorrected energy = -6.055 eV/atom
size of the total moment = 0.00 μB/cell

Unit cell a=6.6171 b=6.6171 c=2.7237 alpha=90.00 beta=90.00 gamma=90.00
Last column: nearest neighbours and their distance in Å.
Space group P4/mbm (No. 127)
Unique sites:
Zn: 0.0000 0.0000 0.0000 [2 per cell]  4 Fe 2.52, 2 Zn 2.72
Fe: 0.1485 0.3515 0.0000 [4 per cell]  6 Si 2.36-2.38, 2 Zn 2.52
Si: 0.1461 0.6461 0.5000 [4 per cell]  6 Fe 2.36-2.38


[3]
DFT (PBE) results for a relaxed structure of Zn2FeSi.

## Properties
uncorrected formation energy = 0.09 eV per atom
crystal system = tetragonal
uncorrected energy = -4.019 eV/atom
size of the total moment = 1.67 μB/cell

Unit cell a=3.6475 b=3.6475 c=3.8860 alpha=90.00 beta=90.00 gamma=90.00
Last column: nearest neighbours and their distance in Å.
Space group P4/mmm (No. 123)
Unique sites:
Zn: 0.0000 0.5000 0.0000 [2 per cell]  4 Zn 2.58, 4 Fe 2.66, 4 Si 2.66
Fe: 0.0000 0.0000 0.5000 [1 per cell]  4 Si 2.58, 8 Zn 2.66
Si: 0.5000 0.5000 0.5000 [1 per cell]  4 Fe 2.58, 8 Zn 2.66


[4]
DFT (PBE) results for a relaxed structure of ZnFeSi2.

## Properties
uncorrected formation energy = -0.16 eV per atom
crystal system = tetragonal
uncorrected energy = -5.302 eV/atom
size of the total moment = 0.00 μB/cell

Unit cell a=2.7018 b=2.7018 c=7.6637 alpha=90.00 beta=90.00 gamma=90.00
Last column: nearest neighbours and their distance in Å.
Space group P4/mmm (No. 123)
Unique sites:
Zn: 0.0000 0.0000 0.0000 [1 per cell]  2 Si 2.41
Fe: 0.5000 0.5000 0.5000 [1 per cell]  8 Si 2.38
Si: 0.0000 0.0000 0.3144 [2 per cell]  4 Fe 2.38, 1 Zn 2.41


[5]
DFT (PBE) results for a relaxed structure of ZrFeSi2.

## Properties
uncorrected formation energy = -0.09 eV per atom
crystal system = cubic
uncorrected energy = -7.056 eV/atom
size of the total moment = 7.34 μB/cell

Unit cell a=6.1996 b=6.1996 c=6.1996 alpha=90.00 beta=90.00 gamma=90.00
Last column: nearest neighbours and their distance in Å.
Space group Fm-3m (No. 225)
Unique sites:
Zr: 0.0000 0.0000 0.0000 [4 per cell]  8 Si 2.68
Fe: 0.0000 0.0000 0.5000 [4 per cell]  8 Si 2.68
Si: 0.2500 0.2500 0.2500 [8 per cell]  4 Zr 2.68, 4 Fe 2.68


[6]
DFT (PBE) results for a relaxed structure of ZrFeSi2.

## Properties
uncorrected formation energy = -0.15 eV per atom
crystal system = trigonal
uncorrected energy = -7.113 eV/atom
size of the total moment = 4.00 μB/cell

Unit cell a=2.9222 b=2.9222 c=24.5461 alpha=90.00 beta=90.00 gamma=120.00
Last column: nearest neighbours and their distance in Å.
Space group R-3m (No. 166, hexagonal axes)
Unique sites:
Zr: 0.0000 0.0000 0.0000 [3 per cell]  6 Si 2.92, 6 Zr 2.92
Fe: 0.0000 0.0000 0.5000 [3 per cell]  6 Si 2.40
Si: 0.0000 0.0000 0.2364 [6 per cell]  3 Fe 2.40


[7]
DFT (PBE) results for a relaxed structure of ZrFeSi2.

## Properties
uncorrected formation energy = -0.13 eV per atom
crystal system = orthorhombic
uncorrected energy = -7.097 eV/atom
size of the total moment = 4.69 μB/cell

Unit cell a=5.6377 b=7.3847 c=2.9546 alpha=90.00 beta=90.00 gamma=90.00
Last column: nearest neighbours and their distance in Å.
Space group Cmmm (No. 65)
Unique sites:
Zr: 0.0000 0.0000 0.0000 [2 per cell]  8 Si 2.75, 2 Fe 2.82, 2 Zr 2.95
Fe: 0.0000 0.5000 0.0000 [2 per cell]  8 Si 2.75, 2 Zr 2.82, 2 Fe 2.95
Si: 0.2500 0.2500 0.5000 [4 per cell]  4 Zr 2.75, 4 Fe 2.75, 4 Si 2.82-2.95


[8]
DFT (PBE) results for a relaxed structure of Zr2FeSi2.

## Properties
uncorrected formation energy = -0.58 eV per atom
crystal system = orthorhombic
uncorrected energy = -7.860 eV/atom
size of the total moment = 0.00 μB/cell

Unit cell a=5.3957 b=11.6954 c=5.3683 alpha=90.00 beta=90.00 gamma=90.00
Last column: nearest neighbours and their distance in Å.
Space group Ibam (No. 72)
Unique sites:
Zr: 0.2217 0.1664 0.0000 [8 per cell]  2 Fe 2.65, 5 Si 2.76-2.96
Fe: 0.0000 0.0000 0.2500 [4 per cell]  4 Si 2.31
Si: 0.2014 0.4162 0.0000 [8 per cell]  2 Fe 2.31


[9]
DFT (PBE) results for a relaxed structure of ZrFe4Si.

## Properties
uncorrected formation energy = -0.20 eV per atom
crystal system = cubic
uncorrected energy = -8.170 eV/atom
size of the total moment = 27.49 μB/cell

Unit cell a=6.8061 b=6.8061 c=6.8061 alpha=90.00 beta=90.00 gamma=90.00
Last column: nearest neighbours and their distance in Å.
Space group F-43m (No. 216)
Unique sites:
Zr: 0.0000 0.0000 0.0000 [4 per cell]  12 Fe 2.82, 4 Si 2.95
Fe: 0.1241 0.1241 0.3759 [16 per cell]  6 Fe 2.39-2.42
Si: 0.2500 0.2500 0.7500 [4 per cell]  12 Fe 2.82, 4 Zr 2.95


[10]
DFT (PBE) results for a relaxed structure of Zr2FeSi2.

## Properties
uncorrected formation energy = -0.15 eV per atom
crystal system = tetragonal
uncorrected energy = -7.436 eV/atom
size of the total moment = 1.95 μB/cell

Unit cell a=3.3902 b=3.3902 c=15.3673 alpha=90.00 beta=90.00 gamma=90.00
Last column: nearest neighbours and their distance in Å.
Space group I4/mmm (No. 139)
Unique sites:
Zr: 0.0000 0.0000 0.1020 [4 per cell]  4 Si 2.84, 4 Fe 2.86, 1 Zr 3.13
Fe: 0.0000 0.0000 0.5000 [2 per cell]  8 Zr 2.86
Si: 0.0000 0.5000 0.2500 [4 per cell]  4 Si 2.40


[11]
DFT (PBE) results for a relaxed structure of ZrFeSi2.

## Properties
uncorrected formation energy = -0.38 eV per atom
crystal system = tetragonal
uncorrected energy = -7.340 eV/atom
size of the total moment = 0.49 μB/cell

Unit cell a=3.0798 b=3.0798 c=6.0991 alpha=90.00 beta=90.00 gamma=90.00
Last column: nearest neighbours and their distance in Å.
Space group P4mm (No. 99)
Unique sites:
Zr: 0.0000 0.0000 0.0000 [1 per cell]  5 Si 2.80-2.93, 4 Fe 2.94, 4 Zr 3.08
Fe: 0.5000 0.5000 0.3245 [1 per cell]  5 Si 2.36-2.37
Si: 0.0000 0.0000 0.4797 [1 per cell]  4 Fe 2.37, 4 Si 2.60
Si: 0.5000 0.5000 0.7121 [1 per cell]  1 Fe 2.36, 4 Si 2.60


[12]
DFT (PBE) results for a relaxed structure of ZrFeSi2.

## Properties
uncorrected formation energy = -0.17 eV per atom
crystal system = tetragonal
uncorrected energy = -7.134 eV/atom
size of the total moment = 6.46 μB/cell

Unit cell a=3.8638 b=3.8638 c=8.2502 alpha=90.00 beta=90.00 gamma=90.00
Last column: nearest neighbours and their distance in Å.
Space group I4/mmm (No. 139)
Unique sites:
Zr: 0.0000 0.0000 0.0000 [2 per cell]  4 Fe 2.73, 8 Si 2.83
Fe: 0.0000 0.0000 0.5000 [2 per cell]  4 Zr 2.73, 8 Si 2.83
Si: 0.0000 0.5000 0.2500 [4 per cell]  4 Si 2.73, 4 Zr 2.83, 4 Fe 2.83


[13]
DFT (PBE) results for a relaxed structure of Zr4Fe4Si7.

## Properties
uncorrected formation energy = -0.75 eV per atom
crystal system = tetragonal
uncorrected energy = -7.816 eV/atom
size of the total moment = 12.82 μB/cell

Unit cell a=13.0641 b=13.0641 c=5.0468 alpha=90.00 beta=90.00 gamma=90.00
Last column: nearest neighbours and their distance in Å.
Space group I4/mmm (No. 139)
Unique sites:
Zr: 0.0000 0.1967 0.0000 [8 per cell]  7 Si 2.76-2.87, 4 Fe 3.07
Zr: 0.1381 0.1381 0.5000 [8 per cell]  7 Si 2.79-2.86, 4 Fe 3.07
Fe: 0.1479 0.3521 0.2500 [16 per cell]  6 Si 2.38-2.42, 2 Fe 2.52
Si: 0.0000 0.0000 0.2499 [4 per cell]  2 Si 2.52
Si: 0.0000 0.3007 0.5000 [8 per cell]  4 Fe 2.40
Si: 0.0000 0.4089 0.0000 [8 per cell]  1 Si 2.38, 4 Fe 2.42
Si: 0.2105 0.2105 0.0000 [8 per cell]  4 Fe 2.38


[14]
DFT (PBE) results for a relaxed structure of ZrFeSi2.

## Properties
uncorrected formation energy = 0.09 eV per atom
crystal system = trigonal
uncorrected energy = -6.873 eV/atom
size of the total moment = 4.46 μB/cell

Unit cell a=2.9593 b=2.9593 c=24.5944 alpha=90.00 beta=90.00 gamma=120.00
Last column: nearest neighbours and their distance in Å.
Space group R3m (No. 160, hexagonal axes)
Unique sites:
Zr: 0.0000 0.0000 0.0000 [3 per cell]  3 Fe 2.82, 3 Si 2.84, 6 Zr 2.96
Fe: 0.0000 0.0000 0.7578 [3 per cell]  3 Si 2.36
Si: 0.0000 0.0000 0.2412 [3 per cell]  9 Si 2.67-2.96, 3 Zr 2.84
Si: 0.0000 0.0000 0.4909 [3 per cell]  3 Fe 2.36


[15]
DFT (PBE) results for a relaxed structure of Zr2Fe5Si4.

## Properties
uncorrected formation energy = -0.50 eV per atom
crystal system = orthorhombic
uncorrected energy = -7.869 eV/atom
size of the total moment = 18.38 μB/cell

Unit cell a=5.2146 b=8.9621 c=13.0858 alpha=90.00 beta=90.00 gamma=90.00
Last column: nearest neighbours and their distance in Å.
Space group Fmmm (No. 69)
Unique sites:
Zr: 0.0000 0.0000 0.1343 [8 per cell]  6 Si 2.91-3.19, 10 Fe 3.00-3.14
Fe: 0.0000 0.0000 0.5000 [4 per cell]  4 Si 2.20
Fe: 0.2500 0.2500 0.0000 [8 per cell]  4 Si 2.40, 4 Fe 2.59-2.61
Fe: 0.2500 0.2500 0.2500 [8 per cell]  4 Si 2.20
Si: 0.0000 0.1444 0.3643 [16 per cell]  5 Fe 2.20-2.40


[16]
DFT (PBE) results for a relaxed structure of ZrFeSi2.

## Properties
uncorrected formation energy = -0.14 eV per atom
crystal system = monoclinic
uncorrected energy = -7.103 eV/atom
size of the total moment = 4.74 μB/cell

Unit cell a=5.6837 b=7.4835 c=2.9523 alpha=90.00 beta=98.94 gamma=90.00
Last column: nearest neighbours and their distance in Å.
Space group C2/m (No. 12)
Unique sites:
Zr: 0.0000 0.0000 0.0000 [2 per cell]  8 Si 2.65-2.89, 2 Fe 2.84, 2 Zr 2.95
Fe: 0.0000 0.5000 0.0000 [2 per cell]  8 Si 2.65-2.89, 2 Zr 2.84, 2 Fe 2.95
Si: 0.2500 0.2500 0.5000 [4 per cell]  4 Zr 2.65-2.89, 4 Fe 2.65-2.89, 4 Si 2.84-2.95


[17]
DFT (PBE) results for a relaxed structure of Zr2FeSi2.

## Properties
uncorrected formation energy = 0.23 eV per atom
crystal system = tetragonal
uncorrected energy = -7.053 eV/atom
size of the total moment = 6.38 μB/cell

Unit cell a=4.1926 b=4.1926 c=11.3139 alpha=90.00 beta=90.00 gamma=90.00
Last column: nearest neighbours and their distance in Å.
Space group I4/mmm (No. 139)
Unique sites:
Zr: 0.0000 0.5000 0.2500 [4 per cell]  4 Si 2.71, 4 Zr 2.96
Fe: 0.0000 0.0000 0.0000 [2 per cell]  8 Si 3.17, 8 Zr 3.52
Si: 0.0000 0.0000 0.4017 [4 per cell]  1 Si 2.22


[18]
DFT (PBE) results for a relaxed structure of ZrFe4Si.

## Properties
uncorrected formation energy = -0.23 eV per atom
crystal system = orthorhombic
uncorrected energy = -8.196 eV/atom
size of the total moment = 13.46 μB/cell

Unit cell a=7.4980 b=3.2320 c=6.5918 alpha=90.00 beta=90.00 gamma=90.00
Last column: nearest neighbours and their distance in Å.
Space group Pmma (No. 51)
Unique sites:
Zr: 0.2500 0.0000 0.1220 [2 per cell]  1 Si 2.69, 6 Fe 2.73-2.79
Fe: 0.0000 0.0000 0.5000 [2 per cell]  2 Si 2.35, 4 Fe 2.49
Fe: 0.0472 0.5000 0.8113 [4 per cell]  2 Si 2.31, 1 Fe 2.59
Fe: 0.2500 0.5000 0.4553 [2 per cell]  2 Si 2.35, 4 Fe 2.49
Si: 0.2500 0.0000 0.7140 [2 per cell]  8 Fe 2.31-2.35


[19]
DFT (PBE) results for a relaxed structure of ZrFeSi2.

## Properties
uncorrected formation energy = 0.02 eV per atom
crystal system = tetragonal
uncorrected energy = -6.948 eV/atom
size of the total moment = 4.86 μB/cell

Unit cell a=4.2597 b=4.2597 c=15.5428 alpha=90.00 beta=90.00 gamma=90.00
Last column: nearest neighbours and their distance in Å.
Space group I-42d (No. 122)
Unique sites:
Zr: 0.0000 0.0000 0.0000 [4 per cell]  4 Si 2.75, 4 Fe 3.01
Fe: 0.0000 0.0000 0.5000 [4 per cell]  4 Si 2.27
Si: 0.1175 0.2500 0.6250 [8 per cell]  2 Fe 2.27, 2 Si 2.35


[20]
DFT (PBE) results for a relaxed structure of ZrFeSi2.

## Properties
uncorrected formation energy = -0.30 eV per atom
crystal system = orthorhombic
uncorrected energy = -7.264 eV/atom
size of the total moment = 1.93 μB/cell

Unit cell a=3.7281 b=3.8255 c=4.1830 alpha=90.00 beta=90.00 gamma=90.00
Last column: nearest neighbours and their distance in Å.
Space group Pmmm (No. 47)
Unique sites:
Zr: 0.0000 0.0000 0.0000 [1 per cell]  8 Si 2.67-2.83, 4 Fe 2.80
Fe: 0.5000 0.0000 0.5000 [1 per cell]  8 Si 2.67-2.83, 4 Zr 2.80
Si: 0.0000 0.5000 0.5000 [1 per cell]  4 Fe 2.67, 4 Si 2.80, 4 Zr 2.83
Si: 0.5000 0.5000 0.0000 [1 per cell]  4 Zr 2.67, 4 Si 2.80, 4 Fe 2.83